(1)
The following is a DFT calculation (GGA-PBE) of a geometry-optimized CsGaH2 structure.

Cell: 4.954 4.954 4.954 Å, 60.00 60.00 60.00°
Fractional coordinates of all 4 atoms:
Cs 0.500 0.500 0.500
H 0.250 0.250 0.250
H 0.750 0.750 0.750
Ga 0.000 0.000 0.000

Computed properties:
Excess energy over the best structure of this formula in the dataset in meV per atom: 631

---

(2)
The following is a DFT calculation (GGA-PBE) of a geometry-optimized CsGaH3 structure.

Cell: 5.693 7.235 5.667 Å, 88.28 89.68 66.57°
Fractional coordinates of all 10 atoms:
Cs 0.609 0.409 0.289
Cs 0.339 0.945 0.810
Ga 0.898 0.836 0.431
Ga 0.051 0.517 0.667
H 0.294 0.478 0.837
H 0.655 0.875 0.260
H 0.151 0.323 0.497
H 0.116 0.871 0.273
H 0.833 0.481 0.826
H 0.797 0.030 0.601

Computed properties:
Total energy in eV per cell: -30.20

---

(3)
The following is a DFT calculation (GGA-PBE) of a geometry-optimized Cs4Ga2H structure.

Cell: 7.052 7.052 9.524 Å, 68.27 68.27 90.00°
Fractional coordinates of all 7 atoms:
Cs 0.816 0.816 0.368
Cs 0.184 0.184 0.632
Cs 0.000 0.500 0.000
Cs 0.500 0.000 0.000
H 0.000 0.000 0.000
Ga 0.577 0.577 0.847
Ga 0.423 0.423 0.153

Computed properties:
Total energy in eV per cell: -12.30